This record from the Alexandria database describes DySeCl after structural relaxation. The functional is PBE-GGA.

Cell: 4.7879 4.7879 4.7879 Å, 60.00 60.00 60.00°
Last column: nearest neighbours and their distance in Å.
Element x y z (fractional)
1 Dy 0.0000 0.0000 0.0000  4 Se 2.93, 4 Cl 2.93
2 Se 0.7500 0.7500 0.7500  4 Dy 2.93
3 Cl 0.2500 0.2500 0.2500  4 Dy 2.93

Values from the calculation:
Total magnetization: 0.0 μB per formula unit
Crystal system: cubic
Volume: 25.87 Å³/atom
Raw formation energy: -1.915 eV/atom